A plane-wave DFT calculation with PBE-GGA was carried out for a geometry-optimized NaTlSiBiTeCl structure.

abc: 4.2433 6.4091 7.9203
angles: 74.93 86.11 79.41
Space group P1 (No. 1)
Unique sites:
Na  0.0000  0.0000  0.0000 (multiplicity 1)
Tl  0.8850  0.2249  0.4124 (multiplicity 1)
Si  0.6906  0.8360  0.6899 (multiplicity 1)
Bi  0.2700  0.6180  0.5800 (multiplicity 1)
Te  0.9941  0.5265  0.9369 (multiplicity 1)
Cl  0.4762  0.9790  0.2243 (multiplicity 1)

VASP energy in eV for the cell shown: -20.16
Energy relative to the elements, uncorrected in meV/atom: -363